[1]
Cs2KAgO PBE relaxed; raw formation energy = -0.5488 eV per atom; magnetization = 0.0 μB/f.u.; calculated volume = 194.1 Å³ per cell
1.0
-1.730 0.651 5.736
-3.186 -5.101 -0.382
4.270 -2.786 1.604
Cs K O Ag
2 1 1 1
Direct
0.000 0.500 0.000
0.500 0.000 0.000
0.000 0.000 0.500
0.000 0.000 0.000
0.500 0.500 0.500

[2]
TaSeI3 PBE relaxed; raw formation energy = -0.4676 eV per atom; magnetization = 0.0 μB/f.u.; calculated volume = 407.6 Å³ per cell
1.0
-2.309 -7.201 -3.297
8.236 0.326 -0.339
-4.512 -0.608 6.942
Ta Se I
2 2 6
Direct
0.500 0.778 0.278
0.500 0.222 0.722
0.333 0.002 0.336
0.667 0.998 0.664
0.781 0.028 0.249
0.219 0.972 0.751
0.221 0.468 0.249
0.684 0.497 0.180
0.779 0.532 0.751
0.316 0.503 0.820

[3]
InAgOs4 PBE relaxed; energy of formation = 0.79 eV/atom; magnetization = 1.2 μB/f.u.; calculated volume = 101.7 Å³ per cell
1.0
3.697 0.817 3.622
1.924 4.817 0.740
-1.157 2.639 4.376
In Ag Os
1 1 4
Direct
0.000 0.000 0.000
0.750 0.750 0.750
0.375 0.875 0.375
0.375 0.375 0.375
0.375 0.375 0.875
0.875 0.375 0.375

[4]
Mn3ReI PBE relaxed; raw formation energy = 1.2044 eV per atom; magnetization = 10.4 μB/f.u.; calculated volume = 114.5 Å³ per cell
1.0
-0.270 -4.466 -1.886
4.803 0.009 -0.710
0.657 -1.905 4.418
Mn Re I
3 1 1
Direct
0.500 0.000 0.000
0.000 0.500 0.000
0.000 0.000 0.500
0.000 0.000 0.000
0.500 0.500 0.500

[5]
SnTe3C PBE relaxed; raw formation energy = 0.8062 eV per atom; magnetization = 0.0 μB/f.u.; calculated volume = 117.6 Å³ per cell
1.0
-4.858 0.186 0.609
-0.634 -1.809 -4.508
0.054 -4.549 1.818
Te C Sn
3 1 1
Direct
0.000 0.000 0.500
0.500 0.000 0.000
0.000 0.500 0.000
0.000 0.000 0.000
0.500 0.500 0.500

[6]
PmScGe PBE relaxed; energy of formation = -0.70 eV/atom; magnetization = 1.0 μB/f.u.; calculated volume = 147.1 Å³ per cell
1.0
-2.900 -3.122 0.637
3.131 -2.632 1.353
-1.088 2.527 7.434
Pm Ge Sc
2 2 2
Direct
0.750 0.750 0.354
0.250 0.250 0.646
0.750 0.750 0.757
0.250 0.250 0.243
0.250 0.750 0.000
0.750 0.250 0.000

[7]
NbMo2Ir2 PBE relaxed; energy of formation = -0.10 eV/atom; magnetization = 0.0 μB/f.u.; calculated volume = 162.7 Å³ per cell
1.0
-4.385 -4.589 -4.261
5.601 -5.200 -0.165
-1.020 -1.171 2.311
Mo Ir Nb
4 4 2
Direct
0.378 0.878 0.000
0.622 0.122 0.000
0.122 0.378 0.000
0.878 0.622 0.000
0.673 0.827 0.500
0.173 0.673 0.500
0.827 0.327 0.500
0.327 0.173 0.500
0.000 0.000 0.000
0.500 0.500 0.000

[8]
CsRb3 PBE relaxed; energy of formation = 0.00 eV/atom; magnetization = 0.0 μB/f.u.; calculated volume = 380.0 Å³ per cell
1.0
7.318 0.000 0.000
0.000 7.318 0.000
-3.659 -3.659 7.095
Rb Cs
3 1
Direct
0.750 0.250 0.500
0.500 0.500 0.000
0.250 0.750 0.500
0.000 0.000 0.000

[9]
AcPr3Hg2 PBE relaxed; energy of formation = -0.31 eV/atom; magnetization = 0.4 μB/f.u.; calculated volume = 194.6 Å³ per cell
1.0
-2.533 -2.294 -1.822
-1.676 -0.842 3.389
-8.049 10.064 -1.480
Hg Pr Ac
2 3 1
Direct
0.500 0.500 0.850
0.500 0.500 0.150
0.000 0.000 0.705
0.000 0.000 0.000
0.000 0.000 0.295
0.500 0.500 0.500

[10]
PrMg2Cu PBE relaxed; energy of formation = -0.16 eV/atom; magnetization = 0.0 μB/f.u.; calculated volume = 739.4 Å³ per cell
1.0
5.561 0.000 0.000
0.000 8.123 0.000
0.000 0.000 16.368
Cu Mg Pr
8 16 8
Direct
0.555 0.250 0.568
0.744 0.750 0.184
0.244 0.250 0.316
0.055 0.750 0.932
0.445 0.750 0.432
0.945 0.250 0.068
0.756 0.750 0.684
0.256 0.250 0.816
0.061 0.555 0.786
0.561 0.445 0.714
0.243 0.445 0.961
0.561 0.055 0.714
0.743 0.945 0.539
0.757 0.945 0.039
0.939 0.055 0.214
0.061 0.945 0.786
0.257 0.055 0.461
0.939 0.445 0.214
0.757 0.555 0.039
0.439 0.555 0.286
0.439 0.945 0.286
0.743 0.555 0.539
0.257 0.445 0.461
0.243 0.055 0.961
0.747 0.250 0.894
0.070 0.250 0.637
0.253 0.750 0.106
0.247 0.750 0.606
0.930 0.750 0.363
0.430 0.250 0.137
0.753 0.250 0.394
0.570 0.750 0.863

[11]
La4Sm4Al PBE relaxed; energy of formation = 0.19 eV/atom; magnetization = 0.0 μB/f.u.; calculated volume = 312.3 Å³ per cell
1.0
5.564 0.000 -3.199
-3.248 9.274 -5.649
0.593 -2.168 7.469
Sm La Al
4 4 1
Direct
0.082 0.620 0.724
0.358 0.380 0.276
0.642 0.104 0.724
0.918 0.896 0.276
0.667 0.667 0.333
0.000 0.500 0.000
0.500 0.000 0.000
0.333 0.333 0.667
0.000 0.000 0.000

[12]
Mn2Cr2Ir PBE relaxed; energy of formation = 0.12 eV/atom; magnetization = 0.0 μB/f.u.; calculated volume = 120.0 Å³ per cell
1.0
-4.645 -2.263 4.167
-4.023 -1.206 -5.140
1.030 -2.511 -0.216
Mn Cr Ir
4 4 2
Direct
0.371 0.871 0.000
0.129 0.371 0.000
0.871 0.629 0.000
0.629 0.129 0.000
0.327 0.173 0.500
0.173 0.673 0.500
0.827 0.327 0.500
0.673 0.827 0.500
0.500 0.500 0.000
0.000 0.000 0.000

[13]
Li2Ni3P2 PBE relaxed; energy of formation = -0.52 eV/atom; magnetization = 0.0 μB/f.u.; calculated volume = 88.4 Å³ per cell
1.0
3.521 0.000 0.000
-1.761 4.424 -0.180
0.000 -2.258 5.768
Li P Ni
2 2 3
Direct
0.143 0.287 0.782
0.857 0.713 0.218
0.855 0.710 0.775
0.145 0.290 0.225
0.500 0.000 0.000
0.634 0.268 0.438
0.366 0.732 0.562

[14]
HfMg2Cd PBE relaxed; energy of formation = 0.03 eV/atom; magnetization = 0.0 μB/f.u.; calculated volume = 87.4 Å³ per cell
1.0
-2.307 1.870 0.937
-1.113 -0.233 2.898
5.849 7.539 4.525
Hf Mg Cd
1 2 1
Direct
0.501 0.501 0.498
0.251 0.251 0.247
0.082 0.082 0.754
0.666 0.666 0.001

[15]
Th2Ga5Pt3 PBE relaxed; energy of formation = -0.89 eV/atom; magnetization = 0.0 μB/f.u.; calculated volume = 386.6 Å³ per cell
1.0
-0.648 -4.351 0.548
5.131 -0.168 4.726
-7.947 4.549 8.788
Pt Th Ga
6 4 10
Direct
0.948 0.472 0.897
0.393 0.017 0.785
0.774 0.711 0.548
0.607 0.517 0.215
0.226 0.211 0.452
0.052 0.972 0.103
0.481 0.757 0.962
0.519 0.257 0.038
0.826 0.227 0.652
0.174 0.727 0.348
0.292 0.516 0.583
0.876 0.757 0.753
0.948 0.084 0.895
0.603 0.912 0.207
0.052 0.584 0.105
0.124 0.257 0.247
0.397 0.412 0.793
0.707 0.411 0.413
0.708 0.016 0.417
0.293 0.911 0.587

[16]
BaSmCu2P2 PBE relaxed; energy of formation = -0.86 eV/atom; magnetization = 0.0 μB/f.u.; calculated volume = 125.8 Å³ per cell
1.0
4.059 0.000 0.000
-2.029 3.515 0.000
0.000 0.000 8.820
P Cu Sm Ba
2 2 1 1
Direct
0.333 0.667 0.281
0.667 0.333 0.719
0.667 0.333 0.278
0.333 0.667 0.722
0.000 0.000 0.500
0.000 0.000 0.000

[17]
CsNaGe3 PBE relaxed; energy of formation = 1.47 eV/atom; magnetization = 0.0 μB/f.u.; calculated volume = 202.7 Å³ per cell
1.0
-5.666 -1.475 -0.481
1.353 -5.588 1.203
-0.759 1.050 5.730
Ge Na Cs
3 1 1
Direct
0.000 0.000 0.500
0.000 0.500 0.000
0.500 0.000 0.000
0.500 0.500 0.500
0.000 0.000 0.000

[18]
La2TbPm2Er2 PBE relaxed; energy of formation = 0.03 eV/atom; magnetization = 0.0 μB/f.u.; calculated volume = 236.3 Å³ per cell
1.0
5.129 0.000 0.000
-2.564 5.711 0.283
0.000 -1.550 7.991
La Er Pm Tb
2 2 2 1
Direct
0.142 0.284 0.425
0.858 0.716 0.575
0.429 0.859 0.283
0.571 0.141 0.717
0.285 0.570 0.860
0.715 0.430 0.140
0.000 0.000 0.000

[19]
TmZrPa2P4 PBE relaxed; energy of formation = -1.40 eV/atom; magnetization = 0.0 μB/f.u.; calculated volume = 168.0 Å³ per cell
1.0
-0.663 3.067 2.355
-0.966 -4.217 5.220
6.482 1.693 -0.379
P Tm Zr Pa
4 1 1 2
Direct
0.000 0.248 0.756
0.500 0.757 0.759
0.500 0.243 0.241
0.000 0.752 0.244
0.500 0.500 0.000
0.000 0.000 0.000
0.500 0.000 0.500
0.000 0.500 0.500

[20]
Fe2AgBr PBE relaxed; raw formation energy = 0.3414 eV per atom; magnetization = 5.8 μB/f.u.; calculated volume = 70.1 Å³ per cell
1.0
-1.551 0.468 -2.766
-2.773 0.220 1.593
0.897 6.731 0.634
Br Fe Ag
1 2 1
Direct
0.500 0.500 0.806
0.500 0.500 0.201
0.000 0.000 0.047
0.000 0.000 0.446

[21]
SmZnHg3 PBE relaxed; energy of formation = -0.25 eV/atom; magnetization = 0.0 μB/f.u.; calculated volume = 472.0 Å³ per cell
1.0
-2.893 2.348 -2.806
-0.629 -7.286 -5.446
-8.672 -3.650 5.886
Sm Zn Hg
4 4 12
Direct
0.250 0.217 0.996
0.750 0.283 0.496
0.250 0.717 0.504
0.750 0.783 0.004
0.250 0.117 0.655
0.750 0.883 0.345
0.250 0.617 0.845
0.750 0.383 0.155
0.250 0.363 0.312
0.750 0.588 0.338
0.750 0.443 0.906
0.750 0.137 0.812
0.750 0.637 0.688
0.250 0.557 0.094
0.750 0.943 0.594
0.250 0.863 0.188
0.250 0.912 0.838
0.250 0.412 0.662
0.250 0.057 0.406
0.750 0.088 0.162

[22]
Hf2AlBOs PBE relaxed; energy of formation = -0.31 eV/atom; magnetization = 0.0 μB/f.u.; calculated volume = 83.6 Å³ per cell
1.0
-2.837 3.500 -0.605
-1.881 -0.926 3.458
2.855 2.707 2.277
Al Os Hf B
1 1 2 1
Direct
0.500 0.500 0.500
0.000 0.500 0.000
0.500 0.000 0.000
0.000 0.000 0.500
0.000 0.000 0.000

[23]
Ta2AlAg PBE relaxed; energy of formation = 0.14 eV/atom; magnetization = 0.0 μB/f.u.; calculated volume = 70.7 Å³ per cell
1.0
-7.499 4.200 -4.872
-6.092 3.084 -7.142
-7.968 1.454 -5.658
Ta Al Ag
2 1 1
Direct
0.498 0.498 0.498
0.002 0.002 0.002
0.750 0.750 0.750
0.250 0.250 0.250

[24]
ReSb2Pt PBE relaxed; raw formation energy = 0.4794 eV per atom; magnetization = 0.3 μB/f.u.; calculated volume = 76.0 Å³ per cell
1.0
2.548 -1.401 3.761
-0.244 2.434 4.076
-2.180 -1.897 3.775
Re Sb Pt
1 2 1
Direct
0.000 0.000 0.000
0.750 0.750 0.750
0.250 0.250 0.250
0.500 0.500 0.500